No. 1
A relaxed structure of LiFeC2. Source: Alexandria via LeMat-Bulk, functional PBE.

Structure (CIF):
```
data_LiFeC2
_chemical_formula_sum 'Li4 Fe4 C8'
_symmetry_space_group_name_H-M 'F m -3 m'
_symmetry_Int_Tables_number 225
_symmetry_space_group_name_Hall '-F 4 2 3'
_cell_length_a 4.8929
_cell_length_b 4.8929
_cell_length_c 4.8929
_cell_angle_alpha 90.00
_cell_angle_beta 90.00
_cell_angle_gamma 90.00
loop_
_atom_site_label
_atom_site_type_symbol
_atom_site_fract_x
_atom_site_fract_y
_atom_site_fract_z
_atom_site_occupancy
Li1 Li 0.0000 0.0000 0.0000 1
Fe1 Fe 0.0000 0.0000 0.5000 1
C1 C 0.2500 0.2500 0.2500 1
```

Output
spin magnetization	2.44	μB per cell
energy relative to the lowest polymorph listed for this composition	405.7	meV/atom
calculated formation energy	1.142	eV/atom

=====

No. 2
A relaxed structure of SiTeSeI2. Source: Alexandria via LeMat-Bulk, functional PBE.

Structure (CIF):
```
data_SiTeSeI2
_chemical_formula_sum 'Si1 Te1 Se1 I2'
_symmetry_space_group_name_H-M 'P 4/m m m'
_symmetry_Int_Tables_number 123
_symmetry_space_group_name_Hall '-P 4 2'
_cell_length_a 5.3322
_cell_length_b 5.3322
_cell_length_c 5.6365
_cell_angle_alpha 90.00
_cell_angle_beta 90.00
_cell_angle_gamma 90.00
loop_
_atom_site_label
_atom_site_type_symbol
_atom_site_fract_x
_atom_site_fract_y
_atom_site_fract_z
_atom_site_occupancy
Si1 Si 0.0000 0.0000 0.0000 1
Te1 Te 0.0000 0.0000 0.5000 1
Se1 Se 0.5000 0.5000 0.5000 1
I1 I 0.0000 0.5000 0.0000 1
```

Output
spin magnetization	0.76	μB per cell
energy relative to the lowest polymorph listed for this composition	0.0	meV/atom

=====

No. 3
A relaxed structure of SiB. Source: Alexandria via LeMat-Bulk, functional PBE.

Structure (CIF):
```
data_SiB
_chemical_formula_sum 'Si8 B8'
_symmetry_space_group_name_H-M 'P 21 21 21'
_symmetry_Int_Tables_number 19
_cell_length_a 4.9446
_cell_length_b 6.1829
_cell_length_c 6.5966
_cell_angle_alpha 90.00
_cell_angle_beta 90.00
_cell_angle_gamma 90.00
loop_
_symmetry_equiv_pos_as_xyz
'x,y,z'
'-x+1/2,-y,z+1/2'
'x+1/2,-y+1/2,-z'
'-x,y+1/2,-z+1/2'
loop_
_atom_site_label
_atom_site_type_symbol
_atom_site_fract_x
_atom_site_fract_y
_atom_site_fract_z
_atom_site_occupancy
Si1 Si 0.0928 0.1141 0.0290 1
Si2 Si 0.1780 0.3645 0.6774 1
B1 B 0.1129 0.0473 0.6725 1
B2 B 0.1607 0.4381 0.9722 1
```

Output
spin magnetization	0.00	μB per cell
energy relative to the lowest polymorph listed for this composition	44.7	meV/atom

=====

No. 4
A relaxed structure of RbNa. Source: Alexandria via LeMat-Bulk, functional PBE.

Structure (CIF):
```
data_RbNa
_chemical_formula_sum 'Rb6 Na6'
_symmetry_space_group_name_H-M 'P m -3 n'
_symmetry_Int_Tables_number 223
_symmetry_space_group_name_Hall '-P 4n 2 3'
_cell_length_a 11.4682
_cell_length_b 11.4682
_cell_length_c 11.4682
_cell_angle_alpha 90.00
_cell_angle_beta 90.00
_cell_angle_gamma 90.00
loop_
_atom_site_label
_atom_site_type_symbol
_atom_site_fract_x
_atom_site_fract_y
_atom_site_fract_z
_atom_site_occupancy
Rb1 Rb 0.0000 0.2500 0.5000 1
Na1 Na 0.0000 0.5000 0.2500 1
```

Output
spin magnetization	0.00	μB per cell
calculated formation energy	0.293	eV/atom

=====

No. 5
A relaxed structure of Li2FeNi3. Source: Alexandria via LeMat-Bulk, functional PBE.

Structure (CIF):
```
data_Li2FeNi3
_chemical_formula_sum 'Li4 Fe2 Ni6'
_symmetry_space_group_name_H-M 'P -1'
_symmetry_Int_Tables_number 2
_cell_length_a 4.4548
_cell_length_b 4.9087
_cell_length_c 6.5005
_cell_angle_alpha 97.83
_cell_angle_beta 97.16
_cell_angle_gamma 90.03
loop_
_symmetry_equiv_pos_as_xyz
'x,y,z'
'-x,-y,-z'
loop_
_atom_site_label
_atom_site_type_symbol
_atom_site_fract_x
_atom_site_fract_y
_atom_site_fract_z
_atom_site_occupancy
Li1 Li 0.9999 0.2481 0.4975 1
Li2 Li 0.4984 0.7519 0.4948 1
Fe1 Fe 0.3195 0.7152 0.8622 1
Ni1 Ni 0.1873 0.5183 0.1659 1
Ni2 Ni 0.1908 0.0188 0.1661 1
Ni3 Ni 0.3032 0.2092 0.8383 1
```

Output
spin magnetization	7.97	μB per cell
calculated formation energy	0.049	eV/atom

=====

No. 6
A relaxed structure of Y5Co2Ir. Source: Alexandria via LeMat-Bulk, functional PBE.

Structure (CIF):
```
data_Y5Co2Ir
_chemical_formula_sum 'Y20 Co8 Ir4'
_symmetry_space_group_name_H-M 'I 4/m c m'
_symmetry_Int_Tables_number 140
_symmetry_space_group_name_Hall '-I 4 2c'
_cell_length_a 7.1167
_cell_length_b 7.1167
_cell_length_c 14.3939
_cell_angle_alpha 90.00
_cell_angle_beta 90.00
_cell_angle_gamma 90.00
loop_
_atom_site_label
_atom_site_type_symbol
_atom_site_fract_x
_atom_site_fract_y
_atom_site_fract_z
_atom_site_occupancy
Y1 Y 0.0000 0.0000 0.0000 1
Y2 Y 0.1781 0.3219 0.1427 1
Co1 Co 0.1109 0.3891 0.5000 1
Ir1 Ir 0.0000 0.0000 0.2500 1
```

Output
spin magnetization	0.00	μB per cell
calculated formation energy	-0.386	eV/atom